A geometry-optimized Ce2Pr3Dy6Er structure. Source: Alexandria, functional PBE.

Structure (extended XYZ):
```
12
Lattice="3.102 -5.372 0.000 3.102 5.372 0.000 -2.066 0.000 11.623" Properties=species:S:1:pos:R:3 pbc="T T T"
Ce 3.102 3.585 0.000
Ce 3.102 -3.585 0.000
Pr -1.033 0.000 5.811
Pr 2.069 1.784 5.811
Pr 2.069 -1.784 5.811
Dy -0.006 1.801 8.781
Dy 1.024 0.000 2.843
Dy -0.006 -1.801 8.781
Dy 4.145 1.801 2.842
Dy 3.115 0.000 8.780
Dy 4.145 -1.801 2.842
Er 3.102 0.000 0.000
```

## Properties
Its total magnetization is 2.0 Bohr magnetons per cell. For the energy of formation, the calculation gives 46 meV/atom. Its density of states at the Fermi level is 1.702 states/eV per atom.